No. 1
# Ce3PmSn3 | Alexandria via LeMat-Bulk | GGA-PBE | relaxed
data_Ce3PmSn3
_cell_length_a 9.3067
_cell_length_b 9.3067
_cell_length_c 5.3339
_cell_angle_alpha 90.00
_cell_angle_beta 90.00
_cell_angle_gamma 120.00
_symmetry_space_group_name_H-M 'P 63/m'
_symmetry_Int_Tables_number 176
_symmetry_space_group_name_Hall '-P 6c'
loop_
_atom_site_label
_atom_site_fract_x
_atom_site_fract_y
_atom_site_fract_z
_atom_site_occupancy
Ce1 0.0039 0.2314 0.2500 1
Pm1 0.3333 0.6667 0.2500 1
Sn1 0.0721 0.4553 0.7500 1
# Total moment = 2.8 μB/f.u.
# Raw total energy = -5.360 eV per atom

***

No. 2
# ZrSc2Fe | Alexandria via LeMat-Bulk | GGA-PBE | relaxed
data_ZrSc2Fe
_cell_length_a 3.378
_cell_length_b 11.042
_cell_length_c 8.604
_cell_angle_alpha 90.00
_cell_angle_beta 90.00
_cell_angle_gamma 90.00
_symmetry_space_group_name_H-M 'C m c m'
_symmetry_Int_Tables_number 63
_symmetry_space_group_name_Hall '-C 2c 2'
loop_
_atom_site_label
_atom_site_fract_x
_atom_site_fract_y
_atom_site_fract_z
_atom_site_occupancy
Zr1 0.000 0.070 0.250 1
Sc1 0.000 0.359 0.068 1
Fe1 0.000 0.263 0.750 1
# Total moment = 0.0 μB/f.u.
# Excess energy over the best structure of this formula in the dataset = 0.000 eV per atom
# Raw total energy = -7.527 eV per atom

***

Which of these has the highest total moment? Ce3PmSn3

***

Among the records above, which one has the highest raw total energy? Ce3PmSn3